A plane-wave DFT calculation with GGA-PBE was carried out for a relaxed structure of PrY12Tl3.

The structure in extended XYZ format:
```
16
Lattice="4.892 0.000 0.000 0.000 4.892 0.000 0.000 0.000 20.074" Properties=species:S:1:pos:R:3 pbc="T T T"
Pr 0.000 0.000 0.000
Y 0.000 2.446 2.673
Y 0.000 2.446 7.591
Y 0.000 2.446 12.484
Y 0.000 2.446 17.401
Y 2.446 0.000 2.673
Y 2.446 0.000 7.591
Y 2.446 0.000 12.484
Y 2.446 0.000 17.401
Y 2.446 2.446 0.000
Y 2.446 2.446 5.164
Y 2.446 2.446 10.037
Y 2.446 2.446 14.911
Tl 0.000 0.000 5.172
Tl 0.000 0.000 10.037
Tl 0.000 0.000 14.902
```

Values from the calculation:
VASP energy = -5.7202 eV/atom
energy of formation from the pure elements = -2.08 eV/f.u.
spin magnetization = 2.381 μB/cell